#i
Material: Ba2SrLi
Method: DFT, PBE
State: relaxed

Calculated values
**Density**: 2.92 Mg/m³

a = 7.527 Å, b = 7.527 Å, c = 7.527 Å
α = 135.07°, β = 135.07°, γ = 65.43°
Positions (direct):
Ba1 0.000 0.000 0.000
Ba2 0.750 0.250 0.500
Sr1 0.500 0.500 0.000
Li1 0.250 0.750 0.500

#ii
Material: Ba2SrLi
Method: DFT, PBE
State: relaxed

Calculated values
**Density**: 2.92 Mg/m³

a = 13.261 Å, b = 13.261 Å, c = 13.261 Å
α = 18.71°, β = 18.71°, γ = 18.71°
Positions (direct):
Ba1 0.000 0.000 0.000
Ba2 0.186 0.186 0.186
Sr1 0.427 0.427 0.427
Li1 0.593 0.593 0.593

#iii
Material: Ba2SrLi
Method: DFT, PBE
State: relaxed

Calculated values
**Density**: 2.99 Mg/m³

a = 4.409 Å, b = 4.409 Å, c = 10.544 Å
α = 90.00°, β = 90.00°, γ = 90.00°
Positions (direct):
Ba1 0.000 0.000 0.202
Ba2 0.000 0.000 0.798
Sr1 0.500 0.500 0.500
Li1 0.500 0.500 0.000

#iv
Material: Ba2SrLi
Method: DFT, PBE
State: relaxed

Calculated values
**Density**: 2.88 Mg/m³

a = 6.705 Å, b = 6.705 Å, c = 6.705 Å
α = 60.00°, β = 60.00°, γ = 60.00°
Positions (direct):
Ba1 0.250 0.250 0.250
Ba2 0.750 0.750 0.750
Sr1 0.000 0.000 0.000
Li1 0.500 0.500 0.500

Which structure is most stable, and how do the rest compare? From most to least stable: #iii, #ii, #i, #iv.

#i
Material: Ba2SrLi
Method: DFT, PBE
State: relaxed

Calculated values
**Density**: 2.91 Mg/m³

a = 13.366 Å, b = 13.366 Å, c = 13.366 Å
α = 18.53°, β = 18.53°, γ = 18.53°
Positions (direct):
Ba1 0.241 0.241 0.241
Ba2 0.759 0.759 0.759
Sr1 0.000 0.000 0.000
Li1 0.500 0.500 0.500

#ii
Material: Ba2SrLi
Method: DFT, PBE
State: relaxed

Calculated values
**Density**: 2.88 Mg/m³

a = 6.684 Å, b = 6.684 Å, c = 4.761 Å
α = 90.00°, β = 90.00°, γ = 90.20°
Positions (direct):
Ba1 0.000 0.500 0.000
Ba2 0.500 0.000 0.000
Sr1 0.000 0.000 0.500
Li1 0.500 0.500 0.500

Which structure is most stable, and how do the rest compare? From most to least stable: #ii, #i.

#i
Material: Ba2SrLi
Method: DFT, PBE
State: relaxed

Calculated values
**Density**: 2.90 Mg/m³

a = 7.361 Å, b = 7.361 Å, c = 7.361 Å
α = 132.69°, β = 132.69°, γ = 69.14°
Positions (direct):
Ba1 0.250 0.750 0.500
Ba2 0.750 0.250 0.500
Sr1 0.000 0.000 0.000
Li1 0.500 0.500 0.000

#ii
Material: Ba2SrLi
Method: DFT, PBE
State: relaxed

Calculated values
**Density**: 3.01 Mg/m³

a = 6.161 Å, b = 6.161 Å, c = 11.585 Å
α = 105.40°, β = 105.40°, γ = 90.00°
Positions (direct):
Ba1 0.000 0.500 0.000
Ba2 0.151 0.151 0.301
Ba3 0.500 0.000 0.000
Ba4 0.849 0.849 0.699
Sr1 0.347 0.347 0.693
Sr2 0.653 0.653 0.307
Li1 0.249 0.751 0.500
Li2 0.751 0.249 0.500

Which structure is most stable, and how do the rest compare? From most to least stable: #ii, #i.

#i
Material: Ba4SrLi
Method: DFT, PBE
State: relaxed

Calculated values
**Density**: 3.10 Mg/m³

a = 10.561 Å, b = 10.561 Å, c = 10.561 Å
α = 129.19°, β = 129.19°, γ = 74.70°
Positions (direct):
Ba1 0.025 0.525 0.829
Ba2 0.196 0.025 0.500
Ba3 0.304 0.804 0.829
Ba4 0.475 0.304 0.500
Ba5 0.525 0.696 0.500
Ba6 0.696 0.196 0.171
Ba7 0.804 0.975 0.500
Ba8 0.975 0.475 0.171
Sr1 0.000 0.000 0.000
Sr2 0.500 0.500 0.000
Li1 0.250 0.250 0.000
Li2 0.750 0.750 0.000

#ii
Material: Ba4SrLi
Method: DFT, PBE
State: relaxed

Calculated values
**Density**: 2.88 Mg/m³

a = 8.063 Å, b = 8.063 Å, c = 8.063 Å
α = 60.00°, β = 60.00°, γ = 60.00°
Positions (direct):
Ba1 0.125 0.125 0.125
Ba2 0.125 0.125 0.625
Ba3 0.125 0.625 0.125
Ba4 0.625 0.125 0.125
Sr1 0.500 0.500 0.500
Li1 0.750 0.750 0.750

Which structure is most stable, and how do the rest compare? From most to least stable: #i, #ii.

#i
Material: Ba4Sr5Li
Method: DFT, PBE
State: relaxed

Calculated values
**Density**: 2.90 Mg/m³

a = 9.931 Å, b = 9.931 Å, c = 9.931 Å
α = 96.04°, β = 96.04°, γ = 142.15°
Positions (direct):
Ba1 0.000 0.324 0.324
Ba2 0.000 0.676 0.676
Ba3 0.324 0.000 0.324
Ba4 0.676 0.000 0.676
Sr1 0.326 0.326 0.654
Sr2 0.326 0.672 0.000
Sr3 0.672 0.326 0.000
Sr4 0.672 0.672 0.346
Sr5 0.988 0.988 0.000
Li1 0.485 0.485 0.000

#ii
Material: Ba4Sr5Li
Method: DFT, PBE
State: relaxed

Calculated values
**Density**: 2.97 Mg/m³

a = 4.386 Å, b = 4.386 Å, c = 28.877 Å
α = 90.00°, β = 90.00°, γ = 90.00°
Positions (direct):
Ba1 0.000 0.000 0.107
Ba2 0.000 0.000 0.322
Ba3 0.000 0.000 0.678
Ba4 0.000 0.000 0.893
Sr1 0.500 0.500 0.000
Sr2 0.500 0.500 0.214
Sr3 0.500 0.500 0.430
Sr4 0.500 0.500 0.570
Sr5 0.500 0.500 0.786
Li1 0.000 0.000 0.500

Which structure is most stable, and how do the rest compare? From most to least stable: #ii, #i.

#i
Material: BaSrLi
Method: DFT, PBE
State: relaxed

Calculated values
**Density**: 2.63 Mg/m³

a = 6.288 Å, b = 6.288 Å, c = 4.272 Å
α = 90.00°, β = 90.00°, γ = 120.00°
Positions (direct):
Ba1 0.000 0.000 0.000
Sr1 0.333 0.667 0.542
Li1 0.667 0.333 0.376

#ii
Material: BaSrLi
Method: DFT, PBE
State: relaxed

Calculated values
**Density**: 2.36 Mg/m³

a = 6.132 Å, b = 6.132 Å, c = 6.132 Å
α = 60.00°, β = 60.00°, γ = 60.00°
Positions (direct):
Ba1 0.000 0.000 0.000
Sr1 0.750 0.750 0.750
Li1 0.500 0.500 0.500

Which structure is most stable, and how do the rest compare? From most to least stable: #i, #ii.

#i
Material: BaSrLi
Method: DFT, PBE
State: relaxed

Calculated values
**Density**: 2.23 Mg/m³

a = 6.251 Å, b = 6.251 Å, c = 6.251 Å
α = 60.00°, β = 60.00°, γ = 60.00°
Positions (direct):
Ba1 0.000 0.000 0.000
Sr1 0.750 0.750 0.750
Li1 0.250 0.250 0.250

#ii
Material: BaSrLi
Method: DFT, PBE
State: relaxed

Calculated values
**Density**: 2.48 Mg/m³

a = 6.030 Å, b = 6.030 Å, c = 6.030 Å
α = 60.00°, β = 60.00°, γ = 60.00°
Positions (direct):
Ba1 0.000 0.000 0.000
Sr1 0.500 0.500 0.500
Li1 0.750 0.750 0.750

Which structure is most stable, and how do the rest compare? From most to least stable: #ii, #i.

#i
Material: BaSrLi
Method: DFT, PBE
State: relaxed

Calculated values
**Density**: 2.60 Mg/m³

a = 8.660 Å, b = 8.660 Å, c = 9.648 Å
α = 90.00°, β = 90.00°, γ = 124.89°
Positions (direct):
Ba1 0.190 0.810 0.897
Ba2 0.310 0.690 0.397
Ba3 0.690 0.310 0.603
Ba4 0.810 0.190 0.103
Sr1 0.196 0.304 0.750
Sr2 0.304 0.196 0.250
Sr3 0.696 0.804 0.750
Sr4 0.804 0.696 0.250
Li1 0.092 0.908 0.548
Li2 0.408 0.592 0.048
Li3 0.592 0.408 0.952
Li4 0.908 0.092 0.452

#ii
Material: BaSrLi
Method: DFT, PBE
State: relaxed

Calculated values
**Density**: 2.67 Mg/m³

a = 9.161 Å, b = 9.161 Å, c = 7.145 Å
α = 102.78°, β = 102.78°, γ = 29.65°
Positions (direct):
Ba1 0.146 0.146 0.330
Ba2 0.854 0.854 0.670
Sr1 0.426 0.426 0.211
Sr2 0.574 0.574 0.789
Li1 0.233 0.233 0.878
Li2 0.767 0.767 0.122

Which structure is most stable, and how do the rest compare? From most to least stable: #ii, #i.

#i
Material: BaSr8Li2
Method: DFT, PBE
State: relaxed

Calculated values
**Density**: 2.50 Mg/m³

a = 9.746 Å, b = 9.746 Å, c = 6.742 Å
α = 98.67°, β = 98.67°, γ = 113.09°
Positions (direct):
Ba1 0.000 0.000 0.000
Sr1 0.073 0.328 0.588
Sr2 0.252 0.748 0.000
Sr3 0.328 0.073 0.588
Sr4 0.398 0.398 0.199
Sr5 0.602 0.602 0.801
Sr6 0.672 0.927 0.412
Sr7 0.748 0.252 0.000
Sr8 0.927 0.672 0.412
Li1 0.314 0.686 0.500
Li2 0.686 0.314 0.500

#ii
Material: BaSr8Li2
Method: DFT, PBE
State: relaxed

Calculated values
**Density**: 2.58 Mg/m³

a = 10.431 Å, b = 10.431 Å, c = 9.684 Å
α = 113.10°, β = 113.10°, γ = 34.88°
Positions (direct):
Ba1 0.000 0.000 0.000
Sr1 0.107 0.107 0.480
Sr2 0.188 0.188 0.944
Sr3 0.342 0.342 0.765
Sr4 0.446 0.446 0.263
Sr5 0.554 0.554 0.737
Sr6 0.658 0.658 0.235
Sr7 0.812 0.812 0.056
Sr8 0.893 0.893 0.520
Li1 0.276 0.276 0.343
Li2 0.724 0.724 0.657

Which structure is most stable, and how do the rest compare? From most to least stable: #ii, #i.

#i
Material: Ba6Sr2Li
Method: DFT, PBE
State: relaxed

Calculated values
**Density**: 3.20 Mg/m³

a = 9.248 Å, b = 9.248 Å, c = 9.248 Å
α = 134.26°, β = 100.48°, γ = 96.90°
Positions (direct):
Ba1 0.153 0.337 0.817
Ba2 0.171 0.000 0.171
Ba3 0.480 0.663 0.817
Ba4 0.520 0.337 0.183
Ba5 0.829 0.000 0.829
Ba6 0.847 0.663 0.183
Sr1 0.323 0.823 0.500
Sr2 0.677 0.177 0.500
Li1 0.000 0.500 0.500

#ii
Material: Ba6Sr2Li
Method: DFT, PBE
State: relaxed

Calculated values
**Density**: 3.21 Mg/m³

a = 4.363 Å, b = 4.363 Å, c = 31.594 Å
α = 90.00°, β = 90.00°, γ = 120.00°
Positions (direct):
Ba1 0.000 0.000 0.064
Ba2 0.000 0.000 0.293
Ba3 0.000 0.000 0.707
Ba4 0.000 0.000 0.936
Ba5 0.333 0.667 0.411
Ba6 0.333 0.667 0.589
Sr1 0.333 0.667 0.179
Sr2 0.333 0.667 0.821
Li1 0.000 0.000 0.500

Which structure is most stable, and how do the rest compare? From most to least stable: #ii, #i.

#i
Material: Ba3SrLi
Method: DFT, PBE
State: relaxed

Calculated values
**Density**: 2.28 Mg/m³

a = 7.167 Å, b = 7.167 Å, c = 7.167 Å
α = 90.00°, β = 90.00°, γ = 90.00°
Positions (direct):
Ba1 0.000 0.000 0.500
Ba2 0.000 0.500 0.000
Ba3 0.500 0.000 0.000
Sr1 0.000 0.000 0.000
Li1 0.500 0.500 0.500

#ii
Material: Ba3SrLi
Method: DFT, PBE
State: relaxed

Calculated values
**Density**: 3.12 Mg/m³

a = 12.048 Å, b = 12.048 Å, c = 10.496 Å
α = 102.62°, β = 102.62°, γ = 21.27°
Positions (direct):
Ba1 0.000 0.000 0.000
Ba2 0.004 0.004 0.403
Ba3 0.183 0.183 0.082
Ba4 0.201 0.201 0.518
Ba5 0.804 0.804 0.885
Ba6 0.821 0.821 0.322
Sr1 0.408 0.408 0.657
Sr2 0.597 0.597 0.747
Li1 0.402 0.402 0.142
Li2 0.602 0.602 0.261

#iii
Material: Ba3SrLi
Method: DFT, PBE
State: relaxed

Calculated values
**Density**: 2.82 Mg/m³

a = 6.683 Å, b = 6.683 Å, c = 6.683 Å
α = 90.00°, β = 90.00°, γ = 90.00°
Positions (direct):
Ba1 0.000 0.000 0.500
Ba2 0.000 0.500 0.000
Ba3 0.500 0.000 0.000
Sr1 0.500 0.500 0.500
Li1 0.000 0.000 0.000

Which structure is most stable, and how do the rest compare? From most to least stable: #ii, #iii, #i.